1.
This record from Alexandria via LeMat-Bulk describes Sr2HoPuN4 after structural relaxation. The functional is PBE.

Geometry as POSCAR:
```
Sr2HoPuN4
1.0
-2.017 2.559 -1.481
0.322 -2.841 -5.348
-5.037 -2.180 3.094
Pu Sr Ho N
1 2 1 4
Direct
0.000 0.000 0.000 Pu
0.500 0.000 0.500 Sr
0.000 0.500 0.500 Sr
0.500 0.500 0.000 Ho
0.000 0.240 0.801 N
0.500 0.771 0.794 N
0.000 0.760 0.199 N
0.500 0.229 0.206 N
```

- Energy relative to the elements, uncorrected: -1.124 eV/atom

2.
This record from Alexandria via LeMat-Bulk describes CaBTeN2 after structural relaxation. The functional is PBE.

Geometry as POSCAR:
```
CaBTeN2
1.0
-0.110 4.390 0.814
-3.860 0.316 -2.224
-3.274 -1.107 5.524
N B Te Ca
2 1 1 1
Direct
0.500 0.000 0.000 N
0.000 0.500 0.000 N
0.500 0.500 0.500 B
0.000 0.000 0.500 Te
0.000 0.000 0.000 Ca
```

- Excess energy over the best structure of this formula in the dataset: 832 meV per atom
- Energy relative to the elements, uncorrected: 2.069 eV/atom